# 1
CrHgGe2Pt | PBE | optimized geometry

Lattice parameters (Å, degrees): 4.659 4.747 4.659 90.00 90.00 90.00
Element x y z (fractional)
Ge (0.500, 0.000, 0.000)
Ge (0.000, 0.000, 0.500)
Pt (0.000, 0.500, 0.000)
Cr (0.000, 0.000, 0.000)
Hg (0.500, 0.500, 0.500)

## Properties
Calculated volume, Å³ per cell: 103.1
Formation energy from the elements, kJ/mol of atoms: 47.3
DOS(E_F), states/eV/cell: 4.71
Density, g/cm3: 9.6

---

# 2
LiNp3Pa3N8 | PBE | optimized geometry

Lattice parameters (Å, degrees): 6.799 6.799 6.734 120.34 90.00 119.99
Site moments in Bohr magnetons follow the coordinates.
Element x y z (fractional)
N (0.757, 0.514, 0.254)  -0.12
Li (0.000, 0.000, 0.500)  0.00
Pa (0.500, 0.000, 0.500)  0.35
N (0.760, 0.003, 0.746)  -0.12
N (0.243, 0.003, 0.746)  -0.12
Np (0.000, 0.000, 0.000)  2.98
N (0.757, 0.997, 0.254)  -0.12
N (0.243, 0.486, 0.746)  -0.12
Pa (0.500, 0.500, 0.500)  0.35
Np (0.500, 0.500, 0.000)  2.98
N (0.750, 0.500, 0.749)  -0.09
N (0.250, 0.500, 0.251)  -0.09
N (0.240, 0.997, 0.254)  -0.12
Pa (0.000, 0.500, 0.500)  0.35
Np (0.000, 0.500, 0.000)  2.98

## Properties
Calculated volume, Å³ per cell: 219.1
VASP energy, eV/atom: -10.15
DOS(E_F), states/eV/cell: 18.88
Density, g/cm3: 11.5

---

# 3
PmNdTm4 | PBE | optimized geometry

Lattice parameters (Å, degrees): 3.555 12.752 13.695 158.62 59.10 123.46
Element x y z (fractional)
Tm (0.663, 0.331, 0.000)
Tm (0.164, 0.332, 0.500)
Nd (0.500, 0.000, 0.500)
Tm (0.337, 0.669, 0.000)
Pm (0.000, 0.000, 0.000)
Tm (0.836, 0.668, 0.500)

## Properties
Calculated volume, Å³ per cell: 188.8
Relative energy among the computed polymorphs, eV per atom: 0.000
Formation energy from the elements, kJ/mol of atoms: 2.1
DOS(E_F), states/eV/cell: 7.82
Density, g/cm3: 8.5

---

# 4
Tm3CuRh8 | PBE | optimized geometry

Lattice parameters (Å, degrees): 5.252 5.252 9.125 73.27 73.27 60.00
Element x y z (fractional)
Rh (0.061, 0.561, 0.317)
Rh (0.311, 0.311, 0.066)
Rh (0.061, 0.562, 0.814)
Tm (0.493, 0.493, 0.521)
Cu (0.133, 0.133, 0.600)
Rh (0.562, 0.562, 0.814)
Tm (0.009, 0.009, 0.973)
Rh (0.061, 0.061, 0.317)
Rh (0.562, 0.061, 0.814)
Tm (0.623, 0.623, 0.130)
Rh (0.561, 0.061, 0.317)
Rh (0.811, 0.811, 0.567)

## Properties
Calculated volume, Å³ per cell: 205.6
Formation energy from the elements, kJ/mol of atoms: -52.6
DOS(E_F), states/eV/cell: 6.89
Density, g/cm3: 11.3

---

# 5
InHgW2 | PBE | optimized geometry

Lattice parameters (Å, degrees): 5.606 5.606 5.606 145.65 128.86 63.06
Element x y z (fractional)
W (0.775, 0.275, 0.500)
Hg (0.511, 0.511, 0.000)
W (0.974, 0.974, 0.000)
In (0.241, 0.741, 0.500)

## Properties
Calculated volume, Å³ per cell: 76.5
Relative energy among the computed polymorphs, eV per atom: 0.208
Formation energy from the elements, kJ/mol of atoms: 67.8
DOS(E_F), states/eV/cell: 2.58
Density, g/cm3: 14.8

---

# 6
LiCrSe2 | PBE | optimized geometry

Lattice parameters (Å, degrees): 4.654 4.656 3.226 90.00 90.00 90.00
Site moments in Bohr magnetons follow the coordinates.
Element x y z (fractional)
Li (0.000, 0.500, 0.500)  0.01
Cr (0.500, 0.000, 0.500)  3.55
Se (0.500, 0.500, 0.000)  -0.17
Se (0.000, 0.000, 0.000)  -0.17

## Properties
Calculated volume, Å³ per cell: 69.9
VASP energy, eV/atom: -5.00
DOS(E_F), states/eV/cell: 1.39
Density, g/cm3: 5.2

---

# 7
BaLuAg2 | PBE | optimized geometry

Lattice parameters (Å, degrees): 3.686 5.494 5.494 90.00 90.00 90.00
Element x y z (fractional)
Ag (0.000, 0.500, 0.000)
Ba (0.500, 0.000, 0.000)
Lu (0.500, 0.500, 0.500)
Ag (0.000, 0.000, 0.500)

## Properties
Calculated volume, Å³ per cell: 111.2
Relative energy among the computed polymorphs, eV per atom: 0.114
Formation energy from the elements, kJ/mol of atoms: -12.2
DOS(E_F), states/eV/cell: 2.53
Density, g/cm3: 7.9

---

Copy entry 7 word for word.
BaLuAg2 | PBE | optimized geometry

Lattice parameters (Å, degrees): 3.686 5.494 5.494 90.00 90.00 90.00
Element x y z (fractional)
Ag (0.000, 0.500, 0.000)
Ba (0.500, 0.000, 0.000)
Lu (0.500, 0.500, 0.500)
Ag (0.000, 0.000, 0.500)

## Properties
Calculated volume, Å³ per cell: 111.2
Relative energy among the computed polymorphs, eV per atom: 0.114
Formation energy from the elements, kJ/mol of atoms: -12.2
DOS(E_F), states/eV/cell: 2.53
Density, g/cm3: 7.9

---

calculated volume of number 4 (Tm3CuRh8)? 205.6 Å³ per cell